#P
! CsTe2SeI (PBE, optimized geometry); values from VASP
&SYSTEM
  ibrav = 0, nat = 5, ntyp = 4
/
ATOMIC_SPECIES
Cs 132.91 Cs.upf
I 126.90 I.upf
Te 127.60 Te.upf
Se 78.96 Se.upf
CELL_PARAMETERS angstrom
5.6565 0.0000 0.0000
0.0000 5.6565 0.0000
0.0000 0.0000 6.1825
ATOMIC_POSITIONS crystal
Cs 0.5000 0.5000 0.5000
I 0.0000 0.0000 0.5000
Te 0.0000 0.5000 0.0000
Te 0.5000 0.0000 0.0000
Se 0.0000 0.0000 0.0000
! Fermi-level density of states = 1.2804 states/eV per atom
! Total magnetic moment = 0.0 μB per formula unit


#Q
! CsTe2SeI (PBE, optimized geometry); values from VASP
&SYSTEM
  ibrav = 0, nat = 5, ntyp = 4
/
ATOMIC_SPECIES
Cs 132.91 Cs.upf
I 126.90 I.upf
Te 127.60 Te.upf
Se 78.96 Se.upf
CELL_PARAMETERS angstrom
-7.1979 -0.5168 -1.7755
1.3522 -6.3383 -3.6369
-1.2225 -3.7270 6.0409
ATOMIC_POSITIONS crystal
Cs 0.0000 0.0000 0.0000
I 0.0000 0.0000 0.5000
Te 0.0000 0.5000 0.0000
Te 0.5000 0.0000 0.0000
Se 0.5000 0.5000 0.5000
! Fermi-level density of states = 1.5782 states/eV per atom
! Total magnetic moment = 6.0 μB per formula unit


It turns out #P is the most stable, with the second structure 1.116 eV/atom higher.


#P
! CsSmI3 (PBE, optimized geometry); values from VASP
&SYSTEM
  ibrav = 0, nat = 10, ntyp = 3
/
ATOMIC_SPECIES
Cs 132.91 Cs.upf
Sm 150.36 Sm.upf
I 126.90 I.upf
CELL_PARAMETERS angstrom
2.1377 -8.5038 0.0000
2.1377 8.5038 0.0000
0.0000 0.0000 12.1747
ATOMIC_POSITIONS crystal
Cs 0.2594 0.7406 0.7500
Cs 0.7406 0.2594 0.2500
Sm 0.0000 0.0000 0.5000
Sm 0.0000 0.0000 0.0000
I 0.6351 0.3649 0.5437
I 0.3649 0.6351 0.4563
I 0.3649 0.6351 0.0437
I 0.6351 0.3649 0.9563
I 0.9546 0.0454 0.7500
I 0.0454 0.9546 0.2500
! Fermi-level density of states = 0.6362 states/eV per atom
! Total magnetic moment = 0.0 μB per formula unit


#Q
! CsSmI3 (PBE, optimized geometry); values from VASP
&SYSTEM
  ibrav = 0, nat = 10, ntyp = 3
/
ATOMIC_SPECIES
Cs 132.91 Cs.upf
Sm 150.36 Sm.upf
I 126.90 I.upf
CELL_PARAMETERS angstrom
6.9867 -0.0001 0.0000
-0.0005 8.8196 0.0003
0.0008 -4.4099 7.6381
ATOMIC_POSITIONS crystal
Cs 0.7499 0.6668 0.3334
Cs 0.2501 0.3332 0.6666
Sm 0.0000 0.0000 0.0000
Sm 0.5000 0.0000 0.0000
I 0.7500 0.6539 0.8270
I 0.2500 0.8270 0.6539
I 0.2500 0.3461 0.1730
I 0.7500 0.1730 0.3461
I 0.2500 0.8270 0.1730
I 0.7500 0.1730 0.8270
! Fermi-level density of states = 0.4801 states/eV per atom
! Total magnetic moment = 0.2 μB per formula unit


It turns out #Q is the most stable, with the second structure 0.078 eV/atom higher.


#P
! Cs2SmI4 (PBE, optimized geometry); values from VASP
&SYSTEM
  ibrav = 0, nat = 7, ntyp = 3
/
ATOMIC_SPECIES
Cs 132.91 Cs.upf
I 126.90 I.upf
Sm 150.36 Sm.upf
CELL_PARAMETERS angstrom
6.1600 0.0000 0.0000
0.0000 6.1600 0.0000
3.0800 3.0800 9.7136
ATOMIC_POSITIONS crystal
Cs 0.6384 0.6384 0.7231
Cs 0.3616 0.3616 0.2769
I 0.8367 0.8367 0.3267
I 0.1633 0.1633 0.6733
I 0.0000 0.5000 0.0000
I 0.5000 0.0000 0.0000
Sm 0.0000 0.0000 0.0000
! Fermi-level density of states = 0.4709 states/eV per atom
! Total magnetic moment = 0.6 μB per formula unit


#Q
! Cs2SmI4 (PBE, optimized geometry); values from VASP
&SYSTEM
  ibrav = 0, nat = 14, ntyp = 3
/
ATOMIC_SPECIES
Cs 132.91 Cs.upf
Sm 150.36 Sm.upf
I 126.90 I.upf
CELL_PARAMETERS angstrom
-0.7311 4.4069 0.4824
-4.9811 0.0809 -8.2874
-13.7868 -3.1908 8.2554
ATOMIC_POSITIONS crystal
Cs 0.5000 0.9187 0.8345
Cs 0.5000 0.0813 0.1655
Cs 0.5000 0.4187 0.6655
Cs 0.5000 0.5813 0.3345
Sm 0.0000 0.0000 0.5000
Sm 0.0000 0.5000 0.0000
I 0.0000 0.6043 0.8175
I 0.0000 0.3957 0.1825
I 0.0000 0.1043 0.6825
I 0.0000 0.8957 0.3175
I 0.5000 0.7738 0.5450
I 0.5000 0.2262 0.4550
I 0.5000 0.7262 0.0450
I 0.5000 0.2738 0.9550
! Fermi-level density of states = 0.3938 states/eV per atom
! Total magnetic moment = 0.2 μB per formula unit


It turns out #P is the most stable, with the second structure 0.017 eV/atom higher.


#P
! CsSn2I5 (PBE, optimized geometry); values from VASP
&SYSTEM
  ibrav = 0, nat = 16, ntyp = 3
/
ATOMIC_SPECIES
Cs 132.91 Cs.upf
Sn 118.71 Sn.upf
I 126.90 I.upf
CELL_PARAMETERS angstrom
9.1331 0.0000 0.0000
0.0000 9.1331 0.0000
-4.5666 -4.5666 8.4552
ATOMIC_POSITIONS crystal
Cs 0.7500 0.7500 0.5000
Cs 0.2500 0.2500 0.5000
Sn 0.1831 0.3169 0.0000
Sn 0.6831 0.1831 0.0000
Sn 0.3169 0.8169 0.0000
Sn 0.8169 0.6831 0.0000
I 0.5285 0.7174 0.7459
I 0.7826 0.9715 0.2541
I 0.0000 0.0000 0.0000
I 0.5000 0.5000 0.0000
I 0.2174 0.0285 0.7459
I 0.7174 0.2174 0.7459
I 0.0285 0.5285 0.7459
I 0.2826 0.7826 0.2541
I 0.9715 0.4715 0.2541
I 0.4715 0.2826 0.2541
! Total magnetic moment = 0.0 μB per formula unit


#Q
! CsSn2I5 (PBE, optimized geometry); values from VASP
&SYSTEM
  ibrav = 0, nat = 16, ntyp = 3
/
ATOMIC_SPECIES
Cs 132.91 Cs.upf
Sn 118.71 Sn.upf
I 126.90 I.upf
CELL_PARAMETERS angstrom
6.4051 0.0000 0.0000
-3.2026 7.1792 0.0000
0.0000 0.0000 16.4397
ATOMIC_POSITIONS crystal
Cs 0.4985 0.9970 0.7500
Cs 0.5015 0.0030 0.2500
Sn 0.8550 0.7099 0.4397
Sn 0.8550 0.7099 0.0603
Sn 0.1450 0.2901 0.5603
Sn 0.1450 0.2901 0.9397
I 0.9424 0.8847 0.8823
I 0.9424 0.8847 0.6177
I 0.3478 0.6956 0.4534
I 0.3478 0.6956 0.0466
I 0.7963 0.5926 0.2500
I 0.2037 0.4074 0.7500
I 0.6522 0.3044 0.5466
I 0.6522 0.3044 0.9534
I 0.0576 0.1153 0.1177
I 0.0576 0.1153 0.3823
! Total magnetic moment = 0.0 μB per formula unit


It turns out #Q is the most stable, with the second structure 0.020 eV/atom higher.


#P
! Cs2SnI (PBE, optimized geometry); values from VASP
&SYSTEM
  ibrav = 0, nat = 8, ntyp = 3
/
ATOMIC_SPECIES
Cs 132.91 Cs.upf
Sn 118.71 Sn.upf
I 126.90 I.upf
CELL_PARAMETERS angstrom
-5.1099 5.1099 5.5108
5.1099 -5.1099 5.5108
5.1099 5.1099 -5.5108
ATOMIC_POSITIONS crystal
Cs 0.6250 0.1087 0.9837
Cs 0.1250 0.6413 0.0163
Cs 0.8913 0.8750 0.5163
Cs 0.3587 0.3750 0.4837
Sn 0.5000 0.5000 0.0000
Sn 0.7500 0.2500 0.5000
I 0.0000 0.0000 0.0000
I 0.2500 0.7500 0.5000
! Total magnetic moment = 3.0 μB per formula unit


#Q
! Cs2SnI (PBE, optimized geometry); values from VASP
&SYSTEM
  ibrav = 0, nat = 4, ntyp = 3
/
ATOMIC_SPECIES
Cs 132.91 Cs.upf
I 126.90 I.upf
Sn 118.71 Sn.upf
CELL_PARAMETERS angstrom
-0.6430 -5.8647 -3.2369
0.1141 -5.7771 3.4492
-5.6303 -3.6216 0.6850
ATOMIC_POSITIONS crystal
Cs 0.2500 0.2500 0.2500
Cs 0.7500 0.7500 0.7500
I 0.5000 0.5000 0.5000
Sn 0.0000 0.0000 0.0000
! Total magnetic moment = 3.0 μB per formula unit


It turns out #Q is the most stable, with the second structure 0.066 eV/atom higher.


#P
! CsSn4I8 (PBE, optimized geometry); values from VASP
&SYSTEM
  ibrav = 0, nat = 13, ntyp = 3
/
ATOMIC_SPECIES
Cs 132.91 Cs.upf
Sn 118.71 Sn.upf
I 126.90 I.upf
CELL_PARAMETERS angstrom
-5.0947 5.1197 -6.8362
-2.7625 -4.4078 -8.4759
-9.5896 -2.0662 -1.6343
ATOMIC_POSITIONS crystal
Cs 0.7500 0.7500 0.7500
Sn 0.8875 0.3708 0.3708
Sn 0.3708 0.8875 0.3708
Sn 0.3708 0.3708 0.8875
Sn 0.3708 0.3708 0.3708
I 0.5809 0.1397 0.1397
I 0.1397 0.5809 0.1397
I 0.1397 0.1397 0.5809
I 0.1397 0.1397 0.1397
I 0.1910 0.6030 0.6030
I 0.6030 0.1910 0.6030
I 0.6030 0.6030 0.1910
I 0.6030 0.6030 0.6030
! Fermi-level density of states = 0.4140 states/eV per atom
! Total magnetic moment = 0.0 μB per formula unit


#Q
! CsSn4I8 (PBE, optimized geometry); values from VASP
&SYSTEM
  ibrav = 0, nat = 13, ntyp = 3
/
ATOMIC_SPECIES
Cs 132.91 Cs.upf
Sn 118.71 Sn.upf
I 126.90 I.upf
CELL_PARAMETERS angstrom
-4.7845 6.8549 4.5522
-4.5476 -7.9896 -2.7233
6.7122 -5.7623 5.7903
ATOMIC_POSITIONS crystal
Cs 0.0000 0.5000 0.5000
Sn 0.0000 0.0000 0.0000
Sn 0.0000 0.5000 0.0000
Sn 0.5000 0.5000 0.0000
Sn 0.5000 0.0000 0.0000
I 0.4599 0.7300 0.1896
I 0.5401 0.2700 0.8104
I 0.4592 0.2295 0.1913
I 0.0383 0.2682 0.8086
I 0.5408 0.7705 0.8087
I 0.0383 0.7704 0.8086
I 0.9617 0.2296 0.1914
I 0.9617 0.7318 0.1914
! Fermi-level density of states = 0.2129 states/eV per atom
! Total magnetic moment = 0.0 μB per formula unit


It turns out #Q is the most stable, with the second structure 0.037 eV/atom higher.


#P
! CsSnI2 (PBE, optimized geometry); values from VASP
&SYSTEM
  ibrav = 0, nat = 4, ntyp = 3
/
ATOMIC_SPECIES
Cs 132.91 Cs.upf
I 126.90 I.upf
Sn 118.71 Sn.upf
CELL_PARAMETERS angstrom
5.0825 0.0000 0.0000
2.5412 4.4016 0.0000
2.5412 1.4672 10.5625
ATOMIC_POSITIONS crystal
Cs 0.0000 0.0000 0.0000
I 0.1176 0.1176 0.6473
I 0.8824 0.8824 0.3527
Sn 0.5000 0.5000 0.5000
! Fermi-level density of states = 0.5358 states/eV per atom
! Total magnetic moment = 0.0 μB per formula unit


#Q
! CsSnI2 (PBE, optimized geometry); values from VASP
&SYSTEM
  ibrav = 0, nat = 8, ntyp = 3
/
ATOMIC_SPECIES
Cs 132.91 Cs.upf
I 126.90 I.upf
Sn 118.71 Sn.upf
CELL_PARAMETERS angstrom
-0.5442 6.9412 1.7669
-0.2519 -1.7894 6.9522
9.2242 3.2006 4.8690
ATOMIC_POSITIONS crystal
Cs 0.0000 0.0000 0.0000
Cs 0.7500 0.2500 0.5000
I 0.5442 0.1250 0.2500
I 0.2058 0.6250 0.2500
I 0.3750 0.4558 0.7500
I 0.8750 0.7942 0.7500
Sn 0.5000 0.5000 0.0000
Sn 0.2500 0.7500 0.5000
! Fermi-level density of states = 0.1428 states/eV per atom
! Total magnetic moment = 1.0 μB per formula unit


It turns out #Q is the most stable, with the second structure 0.141 eV/atom higher.


#P
! Cs2SnI4 (PBE, optimized geometry); values from VASP
&SYSTEM
  ibrav = 0, nat = 7, ntyp = 3
/
ATOMIC_SPECIES
Cs 132.91 Cs.upf
I 126.90 I.upf
Sn 118.71 Sn.upf
CELL_PARAMETERS angstrom
6.2489 0.0000 0.0000
0.0000 6.2489 0.0000
3.1244 3.1244 9.7388
ATOMIC_POSITIONS crystal
Cs 0.3609 0.3609 0.2782
Cs 0.6391 0.6391 0.7218
I 0.1636 0.1636 0.6728
I 0.8364 0.8364 0.3272
I 0.0000 0.5000 0.0000
I 0.5000 0.0000 0.0000
Sn 0.0000 0.0000 0.0000
! Total magnetic moment = 0.0 μB per formula unit


#Q
! Cs2SnI4 (PBE, optimized geometry); values from VASP
&SYSTEM
  ibrav = 0, nat = 14, ntyp = 3
/
ATOMIC_SPECIES
Cs 132.91 Cs.upf
Sn 118.71 Sn.upf
I 126.90 I.upf
CELL_PARAMETERS angstrom
-3.0943 1.7450 -8.0224
4.8700 -5.7833 -3.1363
-5.8078 -8.2232 6.1452
ATOMIC_POSITIONS crystal
Cs 0.6788 0.7500 0.0819
Cs 0.3212 0.2500 0.9181
Cs 0.2114 0.2500 0.4389
Cs 0.7886 0.7500 0.5611
Sn 0.1838 0.7500 0.1575
Sn 0.8162 0.2500 0.8425
I 0.4401 0.4955 0.2531
I 0.1894 0.7500 0.8896
I 0.8106 0.2500 0.1104
I 0.4401 0.0045 0.2531
I 0.8959 0.2500 0.6012
I 0.5599 0.9955 0.7469
I 0.5599 0.5045 0.7469
I 0.1041 0.7500 0.3988
! Fermi-level density of states = 0.0000 states/eV per atom
! Total magnetic moment = 0.0 μB per formula unit


It turns out #P is the most stable, with the second structure 0.024 eV/atom higher.


#P
! CsSnTeI2 (PBE, optimized geometry); values from VASP
&SYSTEM
  ibrav = 0, nat = 5, ntyp = 4
/
ATOMIC_SPECIES
Cs 132.91 Cs.upf
I 126.90 I.upf
Te 127.60 Te.upf
Sn 118.71 Sn.upf
CELL_PARAMETERS angstrom
-6.7163 -0.9313 -0.4111
0.7875 -6.4917 1.8393
-0.5945 1.6322 6.0153
ATOMIC_POSITIONS crystal
Cs 0.0000 0.0000 0.0000
I 0.0000 0.5000 0.0000
I 0.5000 0.0000 0.0000
Te 0.0000 0.0000 0.5000
Sn 0.5000 0.5000 0.5000
! Fermi-level density of states = 0.7245 states/eV per atom
! Total magnetic moment = 0.0 μB per formula unit


#Q
! CsSnTeI2 (PBE, optimized geometry); values from VASP
&SYSTEM
  ibrav = 0, nat = 5, ntyp = 4
/
ATOMIC_SPECIES
Cs 132.91 Cs.upf
I 126.90 I.upf
Te 127.60 Te.upf
Sn 118.71 Sn.upf
CELL_PARAMETERS angstrom
6.2621 0.0000 0.0000
0.0000 6.2621 0.0000
0.0000 0.0000 5.8653
ATOMIC_POSITIONS crystal
Cs 0.5000 0.5000 0.5000
I 0.0000 0.5000 0.0000
I 0.5000 0.0000 0.0000
Te 0.0000 0.0000 0.5000
Sn 0.0000 0.0000 0.0000
! Fermi-level density of states = 1.4080 states/eV per atom
! Total magnetic moment = 0.3 μB per formula unit


It turns out #Q is the most stable, with the second structure 1.052 eV/atom higher.


#P
! CsSnTe2I (PBE, optimized geometry); values from VASP
&SYSTEM
  ibrav = 0, nat = 5, ntyp = 4
/
ATOMIC_SPECIES
Cs 132.91 Cs.upf
I 126.90 I.upf
Te 127.60 Te.upf
Sn 118.71 Sn.upf
CELL_PARAMETERS angstrom
6.2886 0.0000 0.0000
0.0000 6.2886 0.0000
0.0000 0.0000 6.7314
ATOMIC_POSITIONS crystal
Cs 0.0000 0.0000 0.0000
I 0.0000 0.0000 0.5000
Te 0.0000 0.5000 0.0000
Te 0.5000 0.0000 0.0000
Sn 0.5000 0.5000 0.5000
! Fermi-level density of states = 0.7364 states/eV per atom
! Total magnetic moment = 0.4 μB per formula unit


#Q
! CsSnTe2I (PBE, optimized geometry); values from VASP
&SYSTEM
  ibrav = 0, nat = 5, ntyp = 4
/
ATOMIC_SPECIES
Cs 132.91 Cs.upf
I 126.90 I.upf
Te 127.60 Te.upf
Sn 118.71 Sn.upf
CELL_PARAMETERS angstrom
-3.1025 4.9037 0.2221
-2.3994 -1.7442 4.9922
4.7492 2.8561 3.2805
ATOMIC_POSITIONS crystal
Cs 0.5000 0.5000 0.5000
I 0.0000 0.0000 0.5000
Te 0.0000 0.5000 0.0000
Te 0.5000 0.0000 0.0000
Sn 0.0000 0.0000 0.0000
! Fermi-level density of states = 0.8256 states/eV per atom
! Total magnetic moment = 0.0 μB per formula unit


It turns out #Q is the most stable, with the second structure 1.140 eV/atom higher.


#P
! Cs2SrI (PBE, optimized geometry); values from VASP
&SYSTEM
  ibrav = 0, nat = 4, ntyp = 3
/
ATOMIC_SPECIES
Cs 132.91 Cs.upf
I 126.90 I.upf
Sr 87.62 Sr.upf
CELL_PARAMETERS angstrom
0.0000 5.2171 5.2171
5.2171 0.0000 5.2171
5.2171 5.2171 0.0000
ATOMIC_POSITIONS crystal
Cs 0.2500 0.2500 0.2500
Cs 0.7500 0.7500 0.7500
I 0.5000 0.5000 0.5000
Sr 0.0000 0.0000 0.0000
! Fermi-level density of states = 0.8716 states/eV per atom
! Total magnetic moment = 1.0 μB per formula unit


#Q
! Cs2SrI (PBE, optimized geometry); values from VASP
&SYSTEM
  ibrav = 0, nat = 4, ntyp = 3
/
ATOMIC_SPECIES
Cs 132.91 Cs.upf
I 126.90 I.upf
Sr 87.62 Sr.upf
CELL_PARAMETERS angstrom
4.8263 0.0000 0.0000
2.4131 4.1797 0.0000
2.4131 1.3932 14.1836
ATOMIC_POSITIONS crystal
Cs 0.1058 0.1058 0.6827
Cs 0.8942 0.8942 0.3173
I 0.5000 0.5000 0.5000
Sr 0.0000 0.0000 0.0000
! Fermi-level density of states = 0.5314 states/eV per atom
! Total magnetic moment = 0.0 μB per formula unit


#R
! Cs2SrI (PBE, optimized geometry); values from VASP
&SYSTEM
  ibrav = 0, nat = 8, ntyp = 3
/
ATOMIC_SPECIES
Cs 132.91 Cs.upf
I 126.90 I.upf
Sr 87.62 Sr.upf
CELL_PARAMETERS angstrom
-3.7573 6.4058 -10.7783
0.1905 -11.2214 -6.7355
-5.2241 -2.9815 -7.8985
ATOMIC_POSITIONS crystal
Cs 0.7329 0.1250 0.2500
Cs 0.0171 0.6250 0.2500
Cs 0.3750 0.2671 0.7500
Cs 0.8750 0.9829 0.7500
I 0.0000 0.0000 0.0000
I 0.7500 0.2500 0.5000
Sr 0.5000 0.5000 0.0000
Sr 0.2500 0.7500 0.5000
! Fermi-level density of states = 1.4967 states/eV per atom
! Total magnetic moment = 0.0 μB per formula unit


It turns out #Q is the most stable, with the second structure 0.100 eV/atom higher.